1.
Zn2PdRh2, optimized geometry, DFT PBE; polymorph energy (0 for the lowest one) = 0.94 kcal/mol of atoms; volume = 150 Å³/cell; ρ = 9.838 Mg/m³
1.0
7.137 0.000 0.000
0.000 7.137 0.000
0.000 0.000 2.936
Zn Pd Rh
4 2 4
Direct
0.169 0.331 0.000 Zn
0.331 0.831 0.000 Zn
0.669 0.169 0.000 Zn
0.831 0.669 0.000 Zn
0.000 0.000 0.500 Pd
0.500 0.500 0.500 Pd
0.130 0.630 0.500 Rh
0.370 0.130 0.500 Rh
0.630 0.870 0.500 Rh
0.870 0.370 0.500 Rh


2.
Zn2Pd2Rh, optimized geometry, DFT PBE; polymorph energy (0 for the lowest one) = 2.98 kcal/mol of atoms; volume = 151 Å³/cell; ρ = 9.823 Mg/m³
1.0
7.316 0.000 0.000
0.000 7.316 0.000
0.000 0.000 2.821
Zn Pd Rh
4 4 2
Direct
0.166 0.334 0.000 Zn
0.334 0.834 0.000 Zn
0.666 0.166 0.000 Zn
0.834 0.666 0.000 Zn
0.133 0.633 0.500 Pd
0.367 0.133 0.500 Pd
0.633 0.867 0.500 Pd
0.867 0.367 0.500 Pd
0.000 0.000 0.500 Rh
0.500 0.500 0.500 Rh


3.
ZnPd2Rh, optimized geometry, DFT PBE; volume = 60 Å³/cell; E = -0.179 hartree per atom; ρ = 10.629 Mg/m³
1.0
0.000 3.099 3.099
3.099 0.000 3.099
3.099 3.099 0.000
Zn Pd Rh
1 2 1
Direct
0.000 0.000 0.000 Zn
0.500 0.500 0.500 Pd
0.750 0.750 0.750 Pd
0.250 0.250 0.250 Rh


4.
ZnPdRh2, optimized geometry, DFT PBE; volume = 126 Å³/cell; E = -0.183 hartree per atom; ρ = 9.918 Mg/m³
1.0
-3.491 3.491 2.593
3.491 -3.491 2.593
3.491 3.491 -2.593
Zn Pd Rh
2 2 4
Direct
0.000 0.000 0.000 Zn
0.750 0.250 0.500 Zn
0.250 0.750 0.500 Pd
0.500 0.500 0.000 Pd
0.111 0.625 0.986 Rh
0.375 0.361 0.486 Rh
0.639 0.125 0.014 Rh
0.875 0.889 0.514 Rh


5.
ZnPd2Rh, optimized geometry, DFT PBE; volume = 59 Å³/cell; E = -0.182 hartree per atom; ρ = 10.806 Mg/m³
1.0
2.815 0.000 0.000
0.000 2.815 0.000
0.000 0.000 7.393
Zn Pd Rh
1 2 1
Direct
0.000 0.000 0.000 Zn
0.500 0.500 0.237 Pd
0.500 0.500 0.763 Pd
0.000 0.000 0.500 Rh


6.
ZnPd3Rh, optimized geometry, DFT PBE; polymorph energy (0 for the lowest one) = 0.00 kcal/mol of atoms; volume = 94 Å³/cell; ρ = 8.578 Mg/m³
1.0
4.553 0.000 0.000
0.000 4.553 0.000
0.000 0.000 4.553
Zn Pd Rh
1 3 1
Direct
0.000 0.000 0.000 Zn
0.000 0.000 0.500 Pd
0.000 0.500 0.000 Pd
0.500 0.000 0.000 Pd
0.500 0.500 0.500 Rh


7.
Zn6PdRh, optimized geometry, DFT PBE; polymorph energy (0 for the lowest one) = 0.00 kcal/mol of atoms; volume = 114 Å³/cell; ρ = 8.797 Mg/m³
1.0
3.834 0.000 0.000
0.000 3.834 0.000
0.000 0.000 7.726
Zn Pd Rh
6 1 1
Direct
0.000 0.000 0.000 Zn
0.000 0.000 0.500 Zn
0.000 0.500 0.247 Zn
0.000 0.500 0.753 Zn
0.500 0.000 0.247 Zn
0.500 0.000 0.753 Zn
0.500 0.500 0.500 Pd
0.500 0.500 0.000 Rh


8.
Zn6Pd2Rh, optimized geometry, DFT PBE; volume = 157 Å³/cell; E = -0.111 hartree per atom; ρ = 7.491 Mg/m³
1.0
6.636 -2.954 0.000
6.636 2.954 0.000
-1.279 0.000 4.004
Zn Pd Rh
6 2 1
Direct
0.081 0.590 0.337 Zn
0.244 0.756 0.000 Zn
0.410 0.919 0.663 Zn
0.590 0.081 0.337 Zn
0.756 0.244 0.000 Zn
0.919 0.410 0.663 Zn
0.334 0.334 0.836 Pd
0.666 0.666 0.164 Pd
0.000 0.000 0.500 Rh


9.
Zn4PdRh, optimized geometry, DFT PBE; polymorph energy (0 for the lowest one) = 3.54 kcal/mol of atoms; volume = 85 Å³/cell; ρ = 9.227 Mg/m³
1.0
0.000 3.486 3.486
3.486 0.000 3.486
3.486 3.486 0.000
Zn Pd Rh
4 1 1
Direct
0.125 0.125 0.125 Zn
0.125 0.125 0.625 Zn
0.125 0.625 0.125 Zn
0.625 0.125 0.125 Zn
0.500 0.500 0.500 Pd
0.750 0.750 0.750 Rh


10.
Zn2Pd8Rh, optimized geometry, DFT PBE; polymorph energy (0 for the lowest one) = 0.00 kcal/mol of atoms; volume = 165 Å³/cell; ρ = 10.941 Mg/m³
1.0
7.045 -1.969 0.000
7.045 1.969 0.000
-1.628 0.000 5.935
Zn Pd Rh
2 8 1
Direct
0.137 0.137 0.183 Zn
0.863 0.863 0.817 Zn
0.044 0.044 0.736 Pd
0.227 0.227 0.634 Pd
0.319 0.319 0.088 Pd
0.409 0.409 0.552 Pd
0.591 0.591 0.448 Pd
0.681 0.681 0.912 Pd
0.773 0.773 0.366 Pd
0.956 0.956 0.264 Pd
0.500 0.500 0.000 Rh


11.
Zn5Pd2Rh, optimized geometry, DFT PBE; volume = 115 Å³/cell; E = -0.126 hartree per atom; ρ = 9.318 Mg/m³
1.0
-1.966 1.966 7.409
1.966 -1.966 7.409
1.966 1.966 -7.409
Zn Pd Rh
5 2 1
Direct
0.000 0.000 0.000 Zn
0.127 0.627 0.500 Zn
0.373 0.873 0.500 Zn
0.627 0.127 0.500 Zn
0.873 0.373 0.500 Zn
0.254 0.254 0.000 Pd
0.746 0.746 0.000 Pd
0.500 0.500 0.000 Rh


12.
Zn4PdRh2, optimized geometry, DFT PBE; volume = 108 Å³/cell; E = -0.147 hartree per atom; ρ = 8.826 Mg/m³
1.0
-2.985 2.985 3.029
2.985 -2.985 3.029
2.985 2.985 -3.029
Zn Pd Rh
4 1 2
Direct
0.000 0.000 0.500 Zn
0.000 0.500 0.000 Zn
0.500 0.000 0.000 Zn
0.500 0.500 0.500 Zn
0.000 0.000 0.000 Pd
0.000 0.500 0.500 Rh
0.500 0.000 0.500 Rh


13.
Zn3PdRh2, optimized geometry, DFT PBE; volume = 84 Å³/cell; E = -0.163 hartree per atom; ρ = 10.063 Mg/m³
1.0
3.041 0.000 0.000
0.000 3.041 0.000
0.000 0.000 9.070
Zn Pd Rh
3 1 2
Direct
0.000 0.000 0.000 Zn
0.000 0.000 0.327 Zn
0.000 0.000 0.673 Zn
0.500 0.500 0.500 Pd
0.500 0.500 0.166 Rh
0.500 0.500 0.834 Rh


14.
Zn6PdRh, optimized geometry, DFT PBE; polymorph energy (0 for the lowest one) = 1.23 kcal/mol of atoms; volume = 116 Å³/cell; ρ = 8.614 Mg/m³
1.0
0.000 3.651 5.415
2.934 0.000 5.415
2.934 3.651 0.000
Zn Pd Rh
6 1 1
Direct
0.121 0.121 0.379 Zn
0.246 0.246 0.754 Zn
0.379 0.379 0.121 Zn
0.621 0.621 0.879 Zn
0.754 0.754 0.246 Zn
0.879 0.879 0.621 Zn
0.500 0.500 0.500 Pd
0.000 0.000 0.000 Rh


15.
ZnPd14Rh, optimized geometry, DFT PBE; volume = 243 Å³/cell; E = -0.189 hartree per atom; ρ = 11.321 Mg/m³
1.0
9.117 0.000 0.000
0.000 2.784 4.791
0.000 -2.784 4.791
Zn Pd Rh
1 14 1
Direct
0.000 0.000 0.000 Zn
0.000 0.002 0.502 Pd
0.000 0.502 0.002 Pd
0.244 0.330 0.831 Pd
0.244 0.831 0.330 Pd
0.248 0.832 0.832 Pd
0.249 0.332 0.332 Pd
0.500 0.162 0.162 Pd
0.500 0.162 0.663 Pd
0.500 0.662 0.662 Pd
0.500 0.663 0.162 Pd
0.751 0.332 0.332 Pd
0.752 0.832 0.832 Pd
0.756 0.330 0.831 Pd
0.756 0.831 0.330 Pd
0.000 0.499 0.499 Rh


16.
Zn4PdRh, optimized geometry, DFT PBE; polymorph energy (0 for the lowest one) = 4.21 kcal/mol of atoms; volume = 104 Å³/cell; ρ = 7.518 Mg/m³
1.0
3.663 -2.117 0.000
3.663 2.117 0.000
-2.495 0.000 6.707
Zn Pd Rh
4 1 1
Direct
0.124 0.124 0.375 Zn
0.371 0.371 0.111 Zn
0.629 0.629 0.889 Zn
0.876 0.876 0.625 Zn
0.500 0.500 0.500 Pd
0.000 0.000 0.000 Rh


17.
Zn5Pd4Rh, optimized geometry, DFT PBE; volume = 143 Å³/cell; E = -0.147 hartree per atom; ρ = 9.950 Mg/m³
1.0
3.098 0.000 0.000
0.000 3.098 0.000
0.000 0.000 14.877
Zn Pd Rh
5 4 1
Direct
0.000 0.000 0.000 Zn
0.000 0.000 0.201 Zn
0.000 0.000 0.403 Zn
0.000 0.000 0.597 Zn
0.000 0.000 0.799 Zn
0.500 0.500 0.100 Pd
0.500 0.500 0.300 Pd
0.500 0.500 0.700 Pd
0.500 0.500 0.900 Pd
0.500 0.500 0.500 Rh


18.
Zr3Zn3Pd2Rh, optimized geometry, DFT PBE; volume = 155 Å³/cell; E = -0.214 hartree per atom; ρ = 8.416 Mg/m³
1.0
7.510 0.000 0.000
-3.755 6.504 0.000
0.000 0.000 3.174
Zr Zn Pd Rh
3 3 2 1
Direct
0.000 0.626 0.000 Zr
0.374 0.374 0.000 Zr
0.626 0.000 0.000 Zr
0.000 0.286 0.500 Zn
0.286 0.000 0.500 Zn
0.714 0.714 0.500 Zn
0.333 0.667 0.500 Pd
0.667 0.333 0.500 Pd
0.000 0.000 0.000 Rh


19.
Zr2ZnPdRh, optimized geometry, DFT PBE; volume = 113 Å³/cell; E = -0.210 hartree per atom; ρ = 6.698 Mg/m³
1.0
4.984 0.000 0.000
0.000 4.984 0.000
0.000 0.000 4.562
Zr Zn Pd Rh
2 1 1 1
Direct
0.000 0.500 0.000 Zr
0.500 0.000 0.000 Zr
0.000 0.000 0.500 Zn
0.000 0.000 0.000 Pd
0.500 0.500 0.500 Rh


20.
Zr2PdRh4, optimized geometry, DFT PBE; polymorph energy (0 for the lowest one) = 8.96 kcal/mol of atoms; volume = 131 Å³/cell; ρ = 8.907 Mg/m³
1.0
-2.455 2.455 5.416
2.455 -2.455 5.416
2.455 2.455 -5.416
Zr Pd Rh
2 1 4
Direct
0.151 0.151 0.000 Zr
0.849 0.849 0.000 Zr
0.500 0.500 0.000 Pd
0.000 0.500 0.500 Rh
0.250 0.750 0.500 Rh
0.500 0.000 0.500 Rh
0.750 0.250 0.500 Rh


Total magnetic moment / μB per formula unit: 0.00; 0.62; 0.99; 0.54; 1.10; 1.37; 0.00; 0.00; 0.00; 0.00; 0.00; 0.00; 0.00; 0.00; 0.87; 0.00; 0.00; 0.00; 0.00; 1.04